# GdMgZn | OQMD via LeMat-Bulk | PBE | optimized geometry
data_GdMgZn
_cell_length_a 6.4705
_cell_length_b 6.5968
_cell_length_c 7.3171
_cell_angle_alpha 86.95
_cell_angle_beta 86.60
_cell_angle_gamma 63.66
_symmetry_space_group_name_H-M 'P 1'
_symmetry_Int_Tables_number 1
loop_
_symmetry_equiv_pos_as_xyz
'x,y,z'
loop_
_atom_site_label
_atom_site_type_symbol
_atom_site_fract_x
_atom_site_fract_y
_atom_site_fract_z
_atom_site_occupancy
Gd1 Gd 0.0000 0.0000 0.0000 1
Gd2 Gd 0.0033 0.5219 0.8447 1
Gd3 Gd 0.1440 0.2425 0.3160 1
Gd4 Gd 0.5071 0.5348 0.9631 1
Mg1 Mg 0.2534 0.6745 0.3713 1
Mg2 Mg 0.4942 0.0429 0.9482 1
Mg3 Mg 0.7033 0.7711 0.2887 1
Mg4 Mg 0.8689 0.9893 0.5944 1
Zn1 Zn 0.3749 0.8980 0.6418 1
Zn2 Zn 0.4153 0.2873 0.6167 1
Zn3 Zn 0.6386 0.2405 0.2936 1
Zn4 Zn 0.7036 0.4770 0.5684 1
# E_tot = -30.9 eV/cell
# magnetic moment = 0.02 μB per cell